PBE LaTlAs2Se, optimized geometry; symmetry = No. 123; energy relative to the elements, uncorrected = 0.0224 eV/atom; total energy = -20.0 eV per cell; total moment = 0.8 μB per cell
1.0
-0.232 3.333 4.705
4.318 -3.021 2.353
3.817 3.610 -2.369
Tl As Se La
1 2 1 1
Direct
0.500 0.500 0.500
0.000 0.500 0.000
0.500 0.000 0.000
0.000 0.000 0.500
0.000 0.000 0.000